No. 1
A plane-wave DFT calculation with PBE was carried out for a geometry-optimized BaErP2 structure.

Cell: 4.2428 4.2428 21.4987 Å, 90.00 90.00 120.00°
Space group R-3m (No. 166, hexagonal axes)
One atom of each set of equivalent atoms:
Ba: 0.0000 0.0000 0.0000 x3
Er: 0.0000 0.0000 0.5000 x3
P: 0.0000 0.0000 0.2337 x6

Summary:
Total DFT energy (no corrections) in Ry/atom: -0.3972
ρ in Mg/m³: 5.45

No. 2
A plane-wave DFT calculation with PBE was carried out for a geometry-optimized Ba2ErPaP4 structure.

Cell: 7.2309 4.2425 7.6894 Å, 90.00 108.53 90.00°
Space group P2/m (No. 10)
One atom of each set of equivalent atoms:
Ba: 0.0000 0.0000 0.0000 x1
Ba: 0.5000 0.5000 0.0000 x1
Er: 0.0000 0.5000 0.5000 x1
Pa: 0.5000 0.0000 0.5000 x1
P: 0.2439 0.0000 0.7018 x2
P: 0.2739 0.5000 0.3006 x2

Summary:
Total DFT energy (no corrections) in Ry/atom: -0.4539
ρ in Mg/m³: 5.92

No. 3
A plane-wave DFT calculation with PBE was carried out for a geometry-optimized Ba3Er2PaP6 structure.

Cell: 7.2976 12.6428 7.6637 Å, 90.00 108.52 90.00°
Space group C2/m (No. 12)
One atom of each set of equivalent atoms:
Ba: 0.0000 0.0000 0.0000 x2
Ba: 0.0000 0.3305 0.0000 x4
Er: 0.0000 0.1662 0.5000 x4
Pa: 0.0000 0.5000 0.5000 x2
P: 0.2299 0.3371 0.7012 x8
P: 0.2425 0.0000 0.7032 x4

Summary:
Total DFT energy (no corrections) in Ry/atom: -0.4354
ρ in Mg/m³: 5.76

No. 4
A plane-wave DFT calculation with PBE was carried out for a geometry-optimized BaErP2Pt4 structure.

Cell: 4.1038 4.1038 10.2288 Å, 90.00 90.00 90.00°
Space group P4/mmm (No. 123)
One atom of each set of equivalent atoms:
Ba: 0.0000 0.0000 0.0000 x1
Er: 0.0000 0.0000 0.5000 x1
P: 0.5000 0.5000 0.1834 x2
Pt: 0.0000 0.5000 0.2970 x4

Summary:
Total DFT energy (no corrections) in Ry/atom: -0.4472
ρ in Mg/m³: 11.06

| no. | E_form (eV per atom) |
| --- | --- |
| 1 | -1.078 |
| 2 | -1.233 |
| 3 | -1.187 |
| 4 | -0.901 |